# Pr4TmAg5

Crystalline Pr4TmAg5 at its relaxed geometry (PBE, the Alexandria database).

Values from the calculation:
total magnetization = 0.01 Bohr magnetons per cell
density of states at the Fermi level = 0.78 states/eV per atom
E_tot = -0.14874 Ha/atom

Cell lengths 3.6999, 3.6999, 19.1634 Å; angles 90.00, 90.00, 90.00 degrees
Closest atoms and distances in Å follow each position.
Space group P4/mmm (No. 123)
Inequivalent atoms, fractional coordinates:
Pr: 0.0000 0.0000 0.1020 (multiplicity 2)  8 Ag 3.27
Pr: 0.0000 0.0000 0.3067 (multiplicity 2)  8 Ag 3.27-3.32
Tm: 0.0000 0.0000 0.5000 (multiplicity 1)  8 Ag 3.10
Ag: 0.5000 0.5000 0.0000 (multiplicity 1)  8 Pr 3.27
Ag: 0.5000 0.5000 0.2040 (multiplicity 2)  8 Pr 3.27
Ag: 0.5000 0.5000 0.4132 (multiplicity 2)  4 Tm 3.10, 4 Pr 3.32, 1 Ag 3.33

# Ga2PtO

Crystalline Ga2PtO at its relaxed geometry (PBE, the Alexandria database).

Values from the calculation:
total magnetization = 0.00 Bohr magnetons per cell
density of states at the Fermi level = 0.01 states/eV per atom
raw formation energy = -0.865 eV/atom
E_tot = -0.18845 Ha/atom

Cell lengths 5.7751, 5.7751, 7.2232 Å; angles 90.00, 90.00, 90.00 degrees
Closest atoms and distances in Å follow each position.
Space group I-42d (No. 122)
Inequivalent atoms, fractional coordinates:
Ga: 0.1895 0.7500 0.1250 (multiplicity 8)  2 O 2.02
Pt: 0.0000 0.0000 0.5000 (multiplicity 4)  4 Ga 2.47
O: 0.0000 0.0000 0.0000 (multiplicity 4)  4 Ga 2.02

# CsIr5S8

Crystalline CsIr5S8 at its relaxed geometry (PBE, the Alexandria database).

Values from the calculation:
total magnetization = 0.00 Bohr magnetons per cell
raw formation energy = -0.404 eV/atom
E_tot = -0.22004 Ha/atom

Cell lengths 18.5333, 3.6006, 8.7038 Å; angles 90.00, 106.78, 90.00 degrees
Closest atoms and distances in Å follow each position.
Space group Cm (No. 8)
Inequivalent atoms, fractional coordinates:
Cs: 0.0000 0.0000 0.0000 (multiplicity 2)  6 S 3.42-3.82, 2 Cs 3.60
Ir: 0.9997 0.5000 0.5003 (multiplicity 2)  6 S 2.37-2.44
Ir: 0.1589 0.0000 0.4666 (multiplicity 2)  6 S 2.31-2.55
Ir: 0.2010 0.0000 0.8266 (multiplicity 2)  6 S 2.35-2.58
Ir: 0.2985 0.5000 0.1738 (multiplicity 2)  6 S 2.35-2.58
Ir: 0.3405 0.5000 0.5338 (multiplicity 2)  6 S 2.31-2.55
S: 0.0784 0.0000 0.6258 (multiplicity 2)  4 Ir 2.31-2.43
S: 0.0863 0.5000 0.3364 (multiplicity 2)  3 Ir 2.34-2.44
S: 0.1789 0.5000 0.9810 (multiplicity 2)  3 Ir 2.35-2.36
S: 0.2362 0.5000 0.6489 (multiplicity 2)  5 Ir 2.42-2.58
S: 0.2633 0.0000 0.3515 (multiplicity 2)  5 Ir 2.42-2.58
S: 0.3206 0.0000 0.0194 (multiplicity 2)  3 Ir 2.35-2.36
S: 0.4131 0.0000 0.6641 (multiplicity 2)  3 Ir 2.34-2.44
S: 0.4211 0.5000 0.3747 (multiplicity 2)  4 Ir 2.31-2.43

# CaYSi2

Crystalline CaYSi2 at its relaxed geometry (PBE, the Alexandria database).

Values from the calculation:
total magnetization = 0.00 Bohr magnetons per cell
density of states at the Fermi level = 0.99 states/eV per atom
raw formation energy = 0.198 eV/atom
E_tot = -0.17014 Ha/atom

Cell lengths 7.0776, 7.0776, 7.0776 Å; angles 90.00, 90.00, 90.00 degrees
Closest atoms and distances in Å follow each position.
Space group F-43m (No. 216)
Inequivalent atoms, fractional coordinates:
Ca: 0.0000 0.0000 0.0000 (multiplicity 4)  4 Si 3.06, 4 Y 3.06
Y: 0.2500 0.2500 0.7500 (multiplicity 4)  4 Ca 3.06, 4 Si 3.06
Si: 0.0000 0.0000 0.5000 (multiplicity 4)  4 Si 3.06, 4 Y 3.06
Si: 0.2500 0.2500 0.2500 (multiplicity 4)  4 Si 3.06, 4 Ca 3.06

# RbGaHg2Au

Crystalline RbGaHg2Au at its relaxed geometry (PBE, the Alexandria database).

Values from the calculation:
total magnetization = 0.00 Bohr magnetons per cell
density of states at the Fermi level = 0.64 states/eV per atom
E_tot = -0.06085 Ha/atom

Cell lengths 5.6305, 5.6305, 5.0366 Å; angles 90.00, 90.00, 90.00 degrees
Closest atoms and distances in Å follow each position.
Space group P4/mmm (No. 123)
Inequivalent atoms, fractional coordinates:
Rb: 0.0000 0.0000 0.0000 (multiplicity 1)  8 Hg 3.78, 4 Ga 3.98
Ga: 0.5000 0.5000 0.0000 (multiplicity 1)  2 Au 2.52
Hg: 0.0000 0.5000 0.5000 (multiplicity 2)  2 Au 2.82
Au: 0.5000 0.5000 0.5000 (multiplicity 1)  2 Ga 2.52, 4 Hg 2.82

# AcNdMg

Crystalline AcNdMg at its relaxed geometry (PBE, the Alexandria database).

Values from the calculation:
total magnetization = 0.00 Bohr magnetons per cell
density of states at the Fermi level = 0.97 states/eV per atom
E_tot = -0.12673 Ha/atom

Cell lengths 5.7216, 5.7216, 3.6536 Å; angles 90.00, 90.00, 120.00 degrees
Closest atoms and distances in Å follow each position.
Space group P3m1 (No. 156)
Inequivalent atoms, fractional coordinates:
Ac: 0.0000 0.0000 0.0000 (multiplicity 1)  3 Mg 3.56, 2 Ac 3.65, 6 Nd 3.67-3.89
Nd: 0.3333 0.6667 0.5627 (multiplicity 1)  3 Mg 3.38, 2 Nd 3.65, 3 Ac 3.67
Mg: 0.6667 0.3333 0.3638 (multiplicity 1)  3 Nd 3.38, 3 Ac 3.56, 2 Mg 3.65

# SnRhO4

Crystalline SnRhO4 at its relaxed geometry (PBE, the Alexandria database).

Values from the calculation:
total magnetization = 3.63 Bohr magnetons per cell
density of states at the Fermi level = 0.46 states/eV per atom
raw formation energy = -1.133 eV/atom
E_tot = -0.23264 Ha/atom

Cell lengths 6.6357, 6.6357, 6.4247 Å; angles 90.00, 90.00, 90.00 degrees
Closest atoms and distances in Å follow each position.
Space group I4_1md (No. 109)
Inequivalent atoms, fractional coordinates:
Sn: 0.0000 0.0000 0.0000 (multiplicity 4)  6 O 2.05-2.11
Rh: 0.0000 0.0000 0.5044 (multiplicity 4)  6 O 2.01-2.05
O: 0.0000 0.3035 0.5087 (multiplicity 8)  2 Rh 2.01-2.05, 1 Sn 2.11
O: 0.0000 0.3084 0.9971 (multiplicity 8)  1 Rh 2.01, 2 Sn 2.05-2.06

# NaScSi

Crystalline NaScSi at its relaxed geometry (PBE, the Alexandria database).

Values from the calculation:
total magnetization = 0.00 Bohr magnetons per cell
density of states at the Fermi level = 0.72 states/eV per atom
raw formation energy = -0.221 eV/atom
E_tot = -0.16826 Ha/atom

Cell lengths 3.5164, 4.3255, 16.4398 Å; angles 90.00, 90.00, 90.00 degrees
Closest atoms and distances in Å follow each position.
Space group Immm (No. 71)
Inequivalent atoms, fractional coordinates:
Na: 0.0000 0.0000 0.0000 (multiplicity 2)  4 Na 2.79, 4 Si 3.00
Na: 0.0000 0.0000 0.5000 (multiplicity 2)  4 Na 2.79
Sc: 0.0000 0.5000 0.1856 (multiplicity 4)  5 Si 2.73-2.85
Si: 0.0000 0.5000 0.3519 (multiplicity 4)  5 Sc 2.73-2.85, 2 Na 3.00

# LaHg2Pb2

Crystalline LaHg2Pb2 at its relaxed geometry (PBE, the Alexandria database).

Values from the calculation:
total magnetization = 0.00 Bohr magnetons per cell
density of states at the Fermi level = 0.59 states/eV per atom
E_tot = -0.10405 Ha/atom

Cell lengths 8.5258, 8.5258, 4.0066 Å; angles 90.00, 90.00, 90.00 degrees
Closest atoms and distances in Å follow each position.
Space group P4/mbm (No. 127)
Inequivalent atoms, fractional coordinates:
La: 0.0000 0.0000 0.0000 (multiplicity 2)  4 Hg 3.39, 8 Pb 3.72
Hg: 0.1221 0.3779 0.0000 (multiplicity 4)  1 Hg 2.94, 2 Pb 3.12
Pb: 0.1797 0.6797 0.5000 (multiplicity 4)  6 Hg 3.12-3.30

# SrOsPb2

Crystalline SrOsPb2 at its relaxed geometry (PBE, the Alexandria database).

Values from the calculation:
total magnetization = 0.00 Bohr magnetons per cell
density of states at the Fermi level = 0.88 states/eV per atom
E_tot = -0.16456 Ha/atom

Cell lengths 4.6734, 4.6734, 9.3129 Å; angles 90.00, 90.00, 90.00 degrees
Closest atoms and distances in Å follow each position.
Space group I-4m2 (No. 119)
Inequivalent atoms, fractional coordinates:
Sr: 0.0000 0.0000 0.0000 (multiplicity 2)  8 Pb 3.30, 4 Os 3.30
Os: 0.0000 0.5000 0.7500 (multiplicity 2)  8 Pb 3.30, 4 Sr 3.30
Pb: 0.0000 0.0000 0.5000 (multiplicity 2)  4 Pb 3.30, 4 Os 3.30, 4 Sr 3.30
Pb: 0.0000 0.5000 0.2500 (multiplicity 2)  4 Pb 3.30, 4 Sr 3.30, 4 Os 3.30

# Al2ZnPb

Crystalline Al2ZnPb at its relaxed geometry (PBE, the Alexandria database).

Values from the calculation:
total magnetization = 0.00 Bohr magnetons per cell
density of states at the Fermi level = 0.24 states/eV per atom
E_tot = -0.10797 Ha/atom

Cell lengths 3.3307, 3.3307, 7.5092 Å; angles 90.00, 90.00, 90.00 degrees
Closest atoms and distances in Å follow each position.
Space group P4mm (No. 99)
Inequivalent atoms, fractional coordinates:
Al: 0.0000 0.0000 0.0000 (multiplicity 1)  4 Zn 2.76, 4 Al 2.83
Al: 0.5000 0.5000 0.2092 (multiplicity 1)  4 Al 2.83, 1 Zn 3.01
Zn: 0.5000 0.5000 0.8084 (multiplicity 1)  5 Al 2.76-3.01
Pb: 0.0000 0.0000 0.5194 (multiplicity 1)  4 Zn 3.20, 4 Al 3.31, 4 Pb 3.33

# Sr2NiAg

Crystalline Sr2NiAg at its relaxed geometry (PBE, the Alexandria database).

Values from the calculation:
total magnetization = 0.00 Bohr magnetons per cell
density of states at the Fermi level = 0.70 states/eV per atom
E_tot = -0.10270 Ha/atom

Cell lengths 8.1879, 8.1879, 7.2075 Å; angles 90.00, 90.00, 90.00 degrees
Closest atoms and distances in Å follow each position.
Space group I-42d (No. 122)
Inequivalent atoms, fractional coordinates:
Sr: 0.2185 0.7500 0.1250 (multiplicity 8)  2 Ni 2.86
Ni: 0.0000 0.0000 0.0000 (multiplicity 4)  4 Sr 2.86
Ag: 0.0000 0.0000 0.5000 (multiplicity 4)  4 Sr 3.21

# AlCrAu

Crystalline AlCrAu at its relaxed geometry (PBE, the Alexandria database).

Values from the calculation:
total magnetization = 6.43 Bohr magnetons per cell
density of states at the Fermi level = 0.51 states/eV per atom
E_tot = -0.20463 Ha/atom

Cell lengths 3.0585, 3.0585, 10.1580 Å; angles 90.00, 90.00, 90.00 degrees
Closest atoms and distances in Å follow each position.
Space group I4mm (No. 107)
Inequivalent atoms, fractional coordinates:
Al: 0.0000 0.0000 0.0000 (multiplicity 2)  4 Cr 2.68, 4 Au 2.73
Cr: 0.0000 0.0000 0.3441 (multiplicity 2)  4 Al 2.68, 4 Au 2.83
Au: 0.0000 0.0000 0.6642 (multiplicity 2)  4 Al 2.73, 4 Cr 2.83, 4 Au 3.06

# Ba3DyTl2O8

Crystalline Ba3DyTl2O8 at its relaxed geometry (PBE, the Alexandria database).

Values from the calculation:
total magnetization = 1.13 Bohr magnetons per cell
density of states at the Fermi level = 0.88 states/eV per atom
raw formation energy = -1.876 eV/atom
E_tot = -0.21271 Ha/atom

Cell lengths 6.2249, 6.2249, 7.9965 Å; angles 90.00, 90.00, 120.00 degrees
Closest atoms and distances in Å follow each position.
Space group P-3m1 (No. 164)
Inequivalent atoms, fractional coordinates:
Ba: 0.0000 0.0000 0.0000 (multiplicity 1)  6 O 3.17
Ba: 0.3333 0.6667 0.6243 (multiplicity 2)  1 O 2.44
Dy: 0.0000 0.0000 0.5000 (multiplicity 1)  6 O 2.22
Tl: 0.3333 0.6667 0.1843 (multiplicity 2)  4 O 2.04-2.17
O: 0.1633 0.3266 0.3301 (multiplicity 6)  1 Tl 2.17, 1 Dy 2.22
O: 0.3333 0.6667 0.9292 (multiplicity 2)  1 Tl 2.04

# Dy2TlAs

Crystalline Dy2TlAs at its relaxed geometry (PBE, the Alexandria database).

Values from the calculation:
total magnetization = 0.00 Bohr magnetons per cell
density of states at the Fermi level = 0.60 states/eV per atom
E_tot = -0.18001 Ha/atom

Cell lengths 3.9551, 3.9551, 24.5689 Å; angles 90.00, 90.00, 120.00 degrees
Closest atoms and distances in Å follow each position.
Space group R3m (No. 160, hexagonal axes)
Inequivalent atoms, fractional coordinates:
Dy: 0.0000 0.0000 0.0000 (multiplicity 3)  3 As 2.82
Dy: 0.0000 0.0000 0.1960 (multiplicity 3)  3 As 2.86
Tl: 0.0000 0.0000 0.4314 (multiplicity 3)  6 Dy 3.32
As: 0.0000 0.0000 0.5991 (multiplicity 3)  6 Dy 2.82-2.86

# ZnCo2Re

Crystalline ZnCo2Re at its relaxed geometry (PBE, the Alexandria database).

Values from the calculation:
total magnetization = 2.61 Bohr magnetons per cell
density of states at the Fermi level = 1.36 states/eV per atom
E_tot = -0.24459 Ha/atom

Cell lengths 2.6936, 4.2952, 4.4119 Å; angles 90.00, 90.00, 90.00 degrees
Closest atoms and distances in Å follow each position.
Space group Pmmm (No. 47)
Inequivalent atoms, fractional coordinates:
Zn: 0.0000 0.0000 0.0000 (multiplicity 1)  4 Co 2.53, 4 Re 2.58, 2 Zn 2.69
Co: 0.0000 0.5000 0.5000 (multiplicity 1)  4 Re 2.53, 6 Co 2.58-2.69
Co: 0.5000 0.5000 0.0000 (multiplicity 1)  4 Zn 2.53, 6 Co 2.58-2.69
Re: 0.5000 0.0000 0.5000 (multiplicity 1)  4 Co 2.53, 4 Zn 2.58, 2 Re 2.69

# LaBe2SnTe

Crystalline LaBe2SnTe at its relaxed geometry (PBE, the Alexandria database).

Values from the calculation:
total magnetization = 0.00 Bohr magnetons per cell
density of states at the Fermi level = 0.74 states/eV per atom
raw formation energy = 0.473 eV/atom
E_tot = -0.12612 Ha/atom

Cell lengths 4.7624, 4.7624, 6.0668 Å; angles 90.00, 90.00, 90.00 degrees
Closest atoms and distances in Å follow each position.
Space group P4/mmm (No. 123)
Inequivalent atoms, fractional coordinates:
La: 0.0000 0.0000 0.0000 (multiplicity 1)  2 Te 3.03, 4 Sn 3.37
Be: 0.0000 0.5000 0.5000 (multiplicity 2)  2 Te 2.38
Sn: 0.5000 0.5000 0.0000 (multiplicity 1)  4 La 3.37
Te: 0.0000 0.0000 0.5000 (multiplicity 1)  4 Be 2.38

# Li3Pa2IrN6

Crystalline Li3Pa2IrN6 at its relaxed geometry (PBE, the Alexandria database).

Values from the calculation:
total magnetization = 0.00 Bohr magnetons per cell
density of states at the Fermi level = 0.71 states/eV per atom
raw formation energy = -0.725 eV/atom
E_tot = -0.28250 Ha/atom

Cell lengths 5.6900, 10.2163, 5.3507 Å; angles 90.00, 106.97, 90.00 degrees
Closest atoms and distances in Å follow each position.
Space group C2/m (No. 12)
Inequivalent atoms, fractional coordinates:
Li: 0.0000 0.0000 0.0000 (multiplicity 2)  6 N 2.28-2.44
Li: 0.0000 0.3748 0.0000 (multiplicity 4)  4 N 2.19-2.24
Pa: 0.0000 0.1670 0.5000 (multiplicity 4)  6 N 2.24-2.31
Ir: 0.0000 0.5000 0.5000 (multiplicity 2)  6 N 2.13-2.17
N: 0.2172 0.3455 0.7155 (multiplicity 8)  1 Ir 2.13, 2 Pa 2.24-2.31, 1 Li 2.24
N: 0.2369 0.0000 0.7222 (multiplicity 4)  1 Ir 2.17, 3 Li 2.19-2.28, 2 Pa 2.28

# InSn2Ge

Crystalline InSn2Ge at its relaxed geometry (PBE, the Alexandria database).

Values from the calculation:
total magnetization = 0.00 Bohr magnetons per cell
density of states at the Fermi level = 0.39 states/eV per atom
E_tot = -0.13725 Ha/atom

Cell lengths 3.7293, 3.7293, 7.3628 Å; angles 90.00, 90.00, 90.00 degrees
Closest atoms and distances in Å follow each position.
Space group P4/mmm (No. 123)
Inequivalent atoms, fractional coordinates:
In: 0.0000 0.0000 0.0000 (multiplicity 1)  8 Sn 3.36, 2 Ge 3.68, 4 In 3.73
Sn: 0.5000 0.5000 0.2838 (multiplicity 2)  4 Ge 3.08, 1 Sn 3.18, 4 In 3.36
Ge: 0.0000 0.0000 0.5000 (multiplicity 1)  8 Sn 3.08

# BeNi3Ge

Crystalline BeNi3Ge at its relaxed geometry (PBE, the Alexandria database).

Values from the calculation:
total magnetization = 0.00 Bohr magnetons per cell
density of states at the Fermi level = 0.55 states/eV per atom
E_tot = -0.15984 Ha/atom

Cell lengths 4.2680, 4.2680, 4.2680 Å; angles 90.00, 90.00, 90.00 degrees
Closest atoms and distances in Å follow each position.
Space group Pm-3m (No. 221)
Inequivalent atoms, fractional coordinates:
Be: 0.0000 0.0000 0.0000 (multiplicity 1)  12 Ni 3.02
Ni: 0.0000 0.5000 0.5000 (multiplicity 3)  2 Ge 2.13
Ge: 0.5000 0.5000 0.5000 (multiplicity 1)  6 Ni 2.13